(1)
# Zr4O5 PBE optimized geometry
# theoretical density	6.23	g cm⁻³
# total DFT energy (no corrections)	-77.408	eV per cell
# magnetization	0.78	μB per cell
data_Zr4O5
_cell_length_a 4.080
_cell_length_b 4.080
_cell_length_c 7.118
_cell_angle_alpha 90.00
_cell_angle_beta 90.00
_cell_angle_gamma 90.00
_space_group_name_H-M_alt 'P 4/m m m'
_space_group_IT_number 123
_space_group_name_Hall '-P 4 2'
loop_
_atom_site_label
_atom_site_fract_x
_atom_site_fract_y
_atom_site_fract_z
_atom_site_occupancy
Zr1 0.000 0.000 0.000 1
Zr2 0.000 0.000 0.500 1
Zr3 0.500 0.500 0.213 1
O1 0.000 0.500 0.278 1
O2 0.500 0.500 0.500 1


(2)
# LuCuAsOs PBE optimized geometry
# E above lowest polymorph	0.000	eV/atom
# theoretical density	12.64	g cm⁻³
# total DFT energy (no corrections)	-95.997	eV per cell
# magnetization	0.03	μB per cell
data_LuCuAsOs
_cell_length_a 6.421
_cell_length_b 6.421
_cell_length_c 6.421
_cell_angle_alpha 90.00
_cell_angle_beta 90.00
_cell_angle_gamma 90.00
_space_group_name_H-M_alt 'F -4 3 m'
_space_group_IT_number 216
_space_group_name_Hall 'F -4 2 3'
loop_
_atom_site_label
_atom_site_fract_x
_atom_site_fract_y
_atom_site_fract_z
_atom_site_occupancy
Lu1 0.000 0.000 0.000 1
Cu1 0.250 0.250 0.750 1
As1 0.000 0.000 0.500 1
Os1 0.250 0.250 0.250 1


(3)
# NbCuNiSb PBE optimized geometry
# E above lowest polymorph	0.000	eV/atom
# theoretical density	8.71	g cm⁻³
# total DFT energy (no corrections)	-91.456	eV per cell
# magnetization	0.17	μB per cell
data_NbCuNiSb
_cell_length_a 6.357
_cell_length_b 6.357
_cell_length_c 6.357
_cell_angle_alpha 90.00
_cell_angle_beta 90.00
_cell_angle_gamma 90.00
_space_group_name_H-M_alt 'F -4 3 m'
_space_group_IT_number 216
_space_group_name_Hall 'F -4 2 3'
loop_
_atom_site_label
_atom_site_fract_x
_atom_site_fract_y
_atom_site_fract_z
_atom_site_occupancy
Nb1 0.000 0.000 0.000 1
Cu1 0.000 0.000 0.500 1
Ni1 0.250 0.250 0.750 1
Sb1 0.250 0.250 0.250 1


(4)
# Y4CdSbN2 PBE optimized geometry
# theoretical density	6.14	g cm⁻³
# total DFT energy (no corrections)	-56.030	eV per cell
# magnetization	0.01	μB per cell
data_Y4CdSbN2
_cell_length_a 3.5492
_cell_length_b 3.5492
_cell_length_c 15.3081
_cell_angle_alpha 90.00
_cell_angle_beta 90.00
_cell_angle_gamma 120.00
_space_group_name_H-M_alt 'P -6 m 2'
_space_group_IT_number 187
_space_group_name_Hall 'P -6 2'
loop_
_atom_site_label
_atom_site_fract_x
_atom_site_fract_y
_atom_site_fract_z
_atom_site_occupancy
Y1 0.0000 0.0000 0.1600 1
Y2 0.3333 0.6667 0.3334 1
Cd1 0.0000 0.0000 0.5000 1
Sb1 0.3333 0.6667 0.0000 1
N1 0.6667 0.3333 0.2438 1


(5)
# KHfTeAuSe2 PBE optimized geometry
# theoretical density	6.88	g cm⁻³
# total DFT energy (no corrections)	-119.282	eV per cell
# magnetization	0.01	μB per cell
data_KHfTeAuSe2
_cell_length_a 3.965
_cell_length_b 15.727
_cell_length_c 10.834
_cell_angle_alpha 90.00
_cell_angle_beta 90.00
_cell_angle_gamma 90.00
_space_group_name_H-M_alt 'C m c m'
_space_group_IT_number 63
_space_group_name_Hall '-C 2c 2'
loop_
_atom_site_label
_atom_site_fract_x
_atom_site_fract_y
_atom_site_fract_z
_atom_site_occupancy
K1 0.000 0.227 0.250 1
Hf1 0.000 0.000 0.000 1
Te1 0.000 0.083 0.750 1
Au1 0.000 0.458 0.750 1
Se1 0.000 0.383 0.539 1


(6)
# Nd4YIn5 PBE optimized geometry
# theoretical density	7.24	g cm⁻³
# total DFT energy (no corrections)	-44.183	eV per cell
# magnetization	0.01	μB per cell
data_Nd4YIn5
_cell_length_a 3.838
_cell_length_b 3.838
_cell_length_c 19.305
_cell_angle_alpha 90.00
_cell_angle_beta 90.00
_cell_angle_gamma 90.00
_space_group_name_H-M_alt 'P 4/m m m'
_space_group_IT_number 123
_space_group_name_Hall '-P 4 2'
loop_
_atom_site_label
_atom_site_fract_x
_atom_site_fract_y
_atom_site_fract_z
_atom_site_occupancy
Nd1 0.000 0.000 0.101 1
Nd2 0.000 0.000 0.305 1
Y1 0.000 0.000 0.500 1
In1 0.500 0.500 0.000 1
In2 0.500 0.500 0.203 1
In3 0.500 0.500 0.407 1


(7)
# RbMgOs PBE optimized geometry
# E above lowest polymorph	0.641	eV/atom
# theoretical density	4.90	g cm⁻³
# total DFT energy (no corrections)	-27.326	eV per cell
# magnetization	11.35	μB per cell
data_RbMgOs
_cell_length_a 7.408
_cell_length_b 7.408
_cell_length_c 7.408
_cell_angle_alpha 90.00
_cell_angle_beta 90.00
_cell_angle_gamma 90.00
_space_group_name_H-M_alt 'F -4 3 m'
_space_group_IT_number 216
_space_group_name_Hall 'F -4 2 3'
loop_
_atom_site_label
_atom_site_fract_x
_atom_site_fract_y
_atom_site_fract_z
_atom_site_occupancy
Rb1 0.000 0.000 0.000 1
Mg1 0.250 0.250 0.750 1
Os1 0.250 0.250 0.250 1


(8)
# Mg2CdAu3 PBE optimized geometry
# E above lowest polymorph	0.057	eV/atom
# theoretical density	11.23	g cm⁻³
# total DFT energy (no corrections)	-16.366	eV per cell
data_Mg2CdAu3
_cell_length_a 5.051
_cell_length_b 4.911
_cell_length_c 5.144
_cell_angle_alpha 90.00
_cell_angle_beta 119.41
_cell_angle_gamma 90.00
_space_group_name_H-M_alt 'P 1 m 1'
_space_group_IT_number 6
_space_group_name_Hall 'P -2y'
loop_
_atom_site_label
_atom_site_fract_x
_atom_site_fract_y
_atom_site_fract_z
_atom_site_occupancy
Mg1 0.000 0.000 0.000 1
Mg2 0.423 0.500 0.036 1
Cd1 0.083 0.500 0.376 1
Au1 0.350 0.000 0.692 1
Au2 0.667 0.000 0.338 1
Au3 0.765 0.500 0.726 1